Record 1
Entry from Alexandria: a relaxed structure of Ca2NiH (GGA-PBE).

Results
magnetic moment: 0.0 μB/cell
E_tot: -13.197 eV/cell

a = 3.3021 Å, b = 3.3021 Å, c = 7.0250 Å
α = 90.00°, β = 90.00°, γ = 90.00°
With the nearest neighbours (Å) after each atom.
Fractional positions:
Ca (0.0000, 0.0000, 0.2432)  4 Ni 2.89, 4 H 2.95
Ca (0.0000, 0.0000, 0.7568)  4 Ni 2.89, 4 H 2.95
Ni (0.5000, 0.5000, 0.0000)  8 Ca 2.89
H (0.5000, 0.5000, 0.5000)  8 Ca 2.95, 4 H 3.30

Record 2
Entry from Alexandria: a relaxed structure of NaZr (GGA-PBE).

Results
E_form: 0.56 eV/atom
magnetic moment: 0.0 μB/cell
E_tot: -52.538 eV/cell
polymorph energy (0 for the lowest one): 373 meV/atom

a = 3.0332 Å, b = 16.5769 Å, c = 6.2670 Å
α = 90.00°, β = 90.00°, γ = 90.00°
With the nearest neighbours (Å) after each atom.
Fractional positions:
Na (0.0000, 0.0000, 0.0000)  6 Na 3.03-3.17
Na (0.0000, 0.5000, 0.5000)  6 Na 3.03-3.17
Na (0.5000, 0.1673, 0.9578)  4 Na 3.03-3.17, 2 Zr 3.37
Na (0.5000, 0.3327, 0.4578)  4 Na 3.03-3.17, 2 Zr 3.37
Na (0.5000, 0.6673, 0.4578)  4 Na 3.03-3.17, 2 Zr 3.37
Na (0.5000, 0.8327, 0.9578)  4 Na 3.03-3.17, 2 Zr 3.37
Zr (0.0000, 0.1514, 0.4629)  4 Zr 2.94-3.03
Zr (0.0000, 0.3486, 0.9629)  4 Zr 2.94-3.03
Zr (0.0000, 0.6514, 0.9629)  4 Zr 2.94-3.03
Zr (0.0000, 0.8486, 0.4629)  4 Zr 2.94-3.03
Zr (0.5000, 0.0000, 0.4904)  6 Zr 2.94-3.03
Zr (0.5000, 0.5000, 0.9904)  6 Zr 2.94-3.03

Record 3
Entry from Alexandria: a relaxed structure of Ac3TePtRh (GGA-PBE).

Results
formation energy without anion corrections: -985 meV per atom
magnetic moment: 0.0 μB/cell
E_tot: -69.543 eV/cell

a = 8.5476 Å, b = 4.3944 Å, c = 11.2602 Å
α = 90.00°, β = 108.75°, γ = 90.00°
With the nearest neighbours (Å) after each atom.
Fractional positions:
Ac (0.1646, 0.2500, 0.1342)  1 Pt 3.05, 3 Rh 3.06-3.07
Ac (0.2066, 0.7500, 0.4827)  3 Pt 2.98-3.08
Ac (0.3196, 0.7500, 0.8630)  1 Pt 2.90, 2 Rh 2.98
Ac (0.6804, 0.2500, 0.1370)  1 Pt 2.90, 2 Rh 2.98
Ac (0.7934, 0.2500, 0.5173)  3 Pt 2.98-3.08
Ac (0.8354, 0.7500, 0.8658)  1 Pt 3.05, 3 Rh 3.06-3.07
Te (0.4963, 0.7500, 0.3075)  7 Ac 3.60-3.63
Te (0.5037, 0.2500, 0.6925)  7 Ac 3.60-3.63
Pt (0.0033, 0.7500, 0.6642)  5 Ac 2.90-3.08, 2 Rh 2.95
Pt (0.9967, 0.2500, 0.3358)  5 Ac 2.90-3.08, 2 Rh 2.95
Rh (0.0781, 0.2500, 0.8485)  2 Pt 2.95, 5 Ac 2.98-3.07
Rh (0.9219, 0.7500, 0.1515)  2 Pt 2.95, 5 Ac 2.98-3.07

Record 4
Entry from Alexandria: a relaxed structure of GaCu2Os2 (GGA-PBE).

Results
E_form: 1.60 eV/atom
magnetic moment: 2.2 μB/cell
E_tot: -25.665 eV/cell
polymorph energy (0 for the lowest one): 1063 meV/atom

a = 4.5117 Å, b = 4.5117 Å, c = 4.2399 Å
α = 90.00°, β = 90.00°, γ = 90.00°
With the nearest neighbours (Å) after each atom.
Fractional positions:
Ga (0.0000, 0.0000, 0.0000)  8 Os 3.10, 4 Cu 3.19
Cu (0.5000, 0.5000, 0.0000)  2 Cu 2.12
Cu (0.5000, 0.5000, 0.5000)  2 Cu 2.12, 4 Os 2.26
Os (0.0000, 0.5000, 0.5000)  2 Cu 2.26
Os (0.5000, 0.0000, 0.5000)  2 Cu 2.26

Record 5
Entry from Alexandria: a relaxed structure of KAlW (GGA-PBE).

Results
E_form: 1.01 eV/atom
magnetic moment: 2.2 μB/cell
E_tot: -29.509 eV/cell
polymorph energy (0 for the lowest one): 261 meV/atom

a = 3.5841 Å, b = 3.5841 Å, c = 12.7146 Å
α = 90.00°, β = 90.00°, γ = 90.00°
With the nearest neighbours (Å) after each atom.
Fractional positions:
K (0.0000, 0.0000, 0.0000)  1 Al 3.25, 1 W 3.39, 4 K 3.58
K (0.5000, 0.5000, 0.5000)  1 Al 3.25, 1 W 3.39, 4 K 3.58
Al (0.0000, 0.0000, 0.7447)  4 W 2.55
Al (0.5000, 0.5000, 0.2447)  4 W 2.55
W (0.0000, 0.0000, 0.2664)  4 Al 2.55
W (0.5000, 0.5000, 0.7664)  4 Al 2.55